The following is a GGA-PBE calculation of crystalline Li4MgMn at its relaxed geometry, from Alexandria.

ΔE_f = 0.203 eV/atom

a = 7.487 Å, b = 7.487 Å, c = 7.487 Å
α = 90.00°, β = 90.00°, γ = 90.00°
Space group F-43m (No. 216)
Symmetry-distinct sites (fractional):
Li  0.124  0.124  0.376 [16 per cell]
Mg  0.000  0.000  0.000 [4 per cell]
Mn  0.250  0.250  0.750 [4 per cell]